Record 1
Entry from Alexandria via LeMat-Bulk: an optimized crystal structure of Tm5InHg (GGA-PBE).

Results
- symmetry = C2/c, No. 15
- theoretical density (g cm⁻³) = 9.796
- formation enthalpy at 0 K (eV/atom) = -0.1063
- D(E_F) (states/eV/cell) = 14.73

a b c (Å): 6.0035 6.0035 11.2470
angles (deg): 99.65 99.65 91.68
Last column: nearest neighbours and their distance in Å.
Element x y z (fractional)
Hg1 0.0000 0.0000 0.0000  6 Tm 2.96-3.31
Hg2 0.0000 0.0000 0.5000  6 Tm 2.96-3.31
Tm1 0.0135 0.5718 0.1520  2 In 3.24-3.34, 7 Tm 3.26-3.62, 2 Hg 3.31-3.56
Tm2 0.4716 0.7613 0.0353  3 Tm 3.12-3.48, 2 In 3.20-3.27, 1 Hg 3.21
Tm3 0.9865 0.4282 0.8480  2 In 3.24-3.34, 7 Tm 3.26-3.62, 2 Hg 3.31-3.56
Tm4 0.5718 0.0135 0.6520  2 In 3.24-3.34, 7 Tm 3.26-3.62, 2 Hg 3.31-3.56
Tm5 0.5284 0.2387 0.9647  3 Tm 3.12-3.48, 2 In 3.20-3.27, 1 Hg 3.21
Tm6 0.4282 0.9865 0.3480  2 In 3.24-3.34, 7 Tm 3.26-3.62, 2 Hg 3.31-3.56
Tm7 0.1089 0.8911 0.7500  2 Hg 2.96, 1 In 3.09, 2 Tm 3.26
Tm8 0.7613 0.4716 0.5353  3 Tm 3.12-3.48, 2 In 3.20-3.27, 1 Hg 3.21
Tm9 0.8911 0.1089 0.2500  2 Hg 2.96, 1 In 3.09, 2 Tm 3.26
Tm10 0.2387 0.5284 0.4647  3 Tm 3.12-3.48, 2 In 3.20-3.27, 1 Hg 3.21
In1 0.5323 0.4677 0.2500  9 Tm 3.09-3.34
In2 0.4677 0.5323 0.7500  9 Tm 3.09-3.34


Record 2
Entry from Alexandria via LeMat-Bulk: an optimized crystal structure of Tm6In6Hg (GGA-PBE).

Results
- symmetry = P6/mmm, No. 191
- theoretical density (g cm⁻³) = 8.901
- formation enthalpy at 0 K (eV/atom) = -0.2709
- D(E_F) (states/eV/cell) = 8.11

a b c (Å): 6.2723 6.2723 10.4201
angles (deg): 90.00 90.00 119.99
Last column: nearest neighbours and their distance in Å.
Element x y z (fractional)
Hg1 0.0000 0.0000 0.0000  8 Tm 3.33-3.62
Tm1 0.6667 0.3333 0.5000  6 In 3.17
Tm2 0.0000 0.0000 0.6800  6 In 3.22, 1 Hg 3.33
Tm3 0.0000 0.0000 0.3200  6 In 3.22, 1 Hg 3.33
Tm4 0.3333 0.6667 0.5000  6 In 3.17
Tm5 0.3333 0.6667 0.0000  6 In 3.17
Tm6 0.6667 0.3333 0.0000  6 In 3.17
In1 0.5000 0.0000 0.2499  4 In 3.14, 6 Tm 3.17-3.22
In2 0.0000 0.5000 0.2499  4 In 3.14, 6 Tm 3.17-3.22
In3 0.5000 0.0000 0.7501  4 In 3.14, 6 Tm 3.17-3.22
In4 0.5000 0.5000 0.2499  4 In 3.14, 6 Tm 3.17-3.22
In5 0.5000 0.5000 0.7501  4 In 3.14, 6 Tm 3.17-3.22
In6 0.0000 0.5000 0.7501  4 In 3.14, 6 Tm 3.17-3.22


Record 3
Entry from Alexandria via LeMat-Bulk: an optimized crystal structure of TmInHg (GGA-PBE).

Results
- symmetry = I4mm, No. 107
- theoretical density (g cm⁻³) = 10.748
- formation enthalpy at 0 K (eV/atom) = -0.2916
- D(E_F) (states/eV/cell) = 1.88

a b c (Å): 3.5830 3.5830 6.3556
angles (deg): 106.37 106.37 90.00
Last column: nearest neighbours and their distance in Å.
Element x y z (fractional)
Tm1 0.9437 0.9437 0.8873  4 Hg 3.14, 4 In 3.28
Hg1 0.2846 0.2846 0.5692  4 Tm 3.14, 4 In 3.17
In1 0.6217 0.6217 0.2435  4 Hg 3.17, 4 Tm 3.28


Record 4
Entry from Alexandria via LeMat-Bulk: an optimized crystal structure of TmIn5Hg8 (GGA-PBE).

Results
- symmetry = C2, No. 5
- theoretical density (g cm⁻³) = 10.170
- formation enthalpy at 0 K (eV/atom) = -0.0550
- D(E_F) (states/eV/cell) = 4.51

a b c (Å): 8.1874 8.1874 8.1643
angles (deg): 89.14 119.56 121.53
Last column: nearest neighbours and their distance in Å.
Element x y z (fractional)
In1 0.3097 0.1386 0.2493  4 Hg 2.99-3.29, 2 In 3.05-3.21, 1 Tm 3.27
In2 0.8893 0.0604 0.7507  4 Hg 2.99-3.29, 2 In 3.05-3.21, 1 Tm 3.27
In3 0.8752 0.8318 0.2720  4 Hg 3.02-3.33, 2 In 3.09-3.21, 1 Tm 3.24
In4 0.5598 0.6032 0.7280  4 Hg 3.02-3.33, 2 In 3.09-3.21, 1 Tm 3.24
In5 0.4086 0.4086 0.0000  4 In 3.05-3.09, 4 Hg 3.06-3.16
Hg1 0.2036 0.9876 0.7332  3 In 2.99-3.16, 1 Tm 3.12, 3 Hg 3.21-3.35
Hg2 0.0412 0.6941 0.0149  4 Hg 2.98-3.22, 2 In 3.07, 1 Tm 3.27
Hg3 0.6005 0.9543 0.3066  3 Hg 2.98-3.22, 3 In 3.00-3.29, 1 Tm 3.10
Hg4 0.6792 0.0263 0.9851  4 Hg 2.98-3.22, 2 In 3.07, 1 Tm 3.27
Hg5 0.6478 0.2940 0.6934  3 Hg 2.98-3.22, 3 In 3.00-3.29, 1 Tm 3.10
Hg6 0.2544 0.4704 0.2668  3 In 2.99-3.16, 1 Tm 3.12, 3 Hg 3.21-3.35
Hg7 0.1290 0.5538 0.7280  2 In 3.06-3.33, 4 Hg 3.06-3.27, 1 Tm 3.18
Hg8 0.8258 0.4010 0.2720  2 In 3.06-3.33, 4 Hg 3.06-3.27, 1 Tm 3.18
Tm1 0.3260 0.8260 0.5000  8 Hg 3.10-3.27, 4 In 3.24-3.27


Record 5
Entry from Alexandria via LeMat-Bulk: an optimized crystal structure of Tm4In3Hg (GGA-PBE).

Results
- energy above the lowest structure with this stoichiometry (meV/atom) = 0.0
- symmetry = P4/mmm, No. 123
- theoretical density (g cm⁻³) = 9.931
- formation enthalpy at 0 K (eV/atom) = -0.4356
- D(E_F) (states/eV/cell) = 5.70

a b c (Å): 3.7102 3.7102 14.8281
angles (deg): 90.00 90.00 90.00
Last column: nearest neighbours and their distance in Å.
Element x y z (fractional)
Tm1 0.0000 0.0000 0.3736  8 In 3.22
Tm2 0.0000 0.0000 0.6264  8 In 3.22
Tm3 0.0000 0.0000 0.1205  4 Hg 3.17, 4 In 3.23
Tm4 0.0000 0.0000 0.8795  4 Hg 3.17, 4 In 3.23
In1 0.5000 0.5000 0.2475  8 Tm 3.22-3.23
In2 0.5000 0.5000 0.5000  8 Tm 3.22
In3 0.5000 0.5000 0.7525  8 Tm 3.22-3.23
Hg1 0.5000 0.5000 0.0000  8 Tm 3.17


Record 6
Entry from Alexandria via LeMat-Bulk: an optimized crystal structure of TmIn3Hg6 (GGA-PBE).

Results
- energy above the lowest structure with this stoichiometry (meV/atom) = 0.0
- symmetry = R-3c, No. 167
- theoretical density (g cm⁻³) = 10.832
- formation enthalpy at 0 K (eV/atom) = -0.0990
- D(E_F) (states/eV/cell) = 7.84

a b c (Å): 8.4666 8.4666 8.4666
angles (deg): 105.36 105.36 105.36
Last column: nearest neighbours and their distance in Å.
Element x y z (fractional)
In1 0.5898 0.7499 0.9103  6 Hg 3.08-3.31, 2 Tm 3.31
In2 0.7499 0.9103 0.5898  6 Hg 3.08-3.31, 2 Tm 3.31
In3 0.0897 0.4102 0.2501  6 Hg 3.08-3.31, 2 Tm 3.31
In4 0.4102 0.2501 0.0897  6 Hg 3.08-3.31, 2 Tm 3.31
In5 0.2501 0.0897 0.4102  6 Hg 3.08-3.31, 2 Tm 3.31
In6 0.9103 0.5898 0.7499  6 Hg 3.08-3.31, 2 Tm 3.31
Hg1 0.0342 0.3053 0.8563  1 Hg 2.92, 2 In 3.08-3.11, 1 Tm 3.11
Hg2 0.6947 0.1437 0.9658  1 Hg 2.92, 2 In 3.08-3.11, 1 Tm 3.11
Hg3 0.5344 0.3560 0.8052  1 Hg 2.92, 2 In 3.08-3.11, 1 Tm 3.12
Hg4 0.8563 0.0342 0.3053  1 Hg 2.92, 2 In 3.08-3.11, 1 Tm 3.11
Hg5 0.6440 0.1948 0.4656  1 Hg 2.92, 2 In 3.08-3.11, 1 Tm 3.12
Hg6 0.9658 0.6947 0.1437  1 Hg 2.92, 2 In 3.08-3.11, 1 Tm 3.11
Hg7 0.3053 0.8563 0.0342  1 Hg 2.92, 2 In 3.08-3.11, 1 Tm 3.11
Hg8 0.1948 0.4656 0.6440  1 Hg 2.92, 2 In 3.08-3.11, 1 Tm 3.12
Hg9 0.3560 0.8052 0.5344  1 Hg 2.92, 2 In 3.08-3.11, 1 Tm 3.12
Hg10 0.1437 0.9658 0.6947  1 Hg 2.92, 2 In 3.08-3.11, 1 Tm 3.11
Hg11 0.4656 0.6440 0.1948  1 Hg 2.92, 2 In 3.08-3.11, 1 Tm 3.12
Hg12 0.8052 0.5344 0.3560  1 Hg 2.92, 2 In 3.08-3.11, 1 Tm 3.12
Tm1 0.5000 0.5000 0.5000  6 Hg 3.12, 6 In 3.31
Tm2 0.0000 0.0000 0.0000  6 Hg 3.11, 6 In 3.31


Record 7
Entry from Alexandria via LeMat-Bulk: an optimized crystal structure of TmInHg (GGA-PBE).

Results
- symmetry = F-43m, No. 216
- theoretical density (g cm⁻³) = 10.097
- formation enthalpy at 0 K (eV/atom) = -0.3705
- D(E_F) (states/eV/cell) = 0.75

a b c (Å): 4.8296 4.8296 4.8296
angles (deg): 60.00 60.00 60.00
Last column: nearest neighbours and their distance in Å.
Element x y z (fractional)
Tm1 0.5000 0.5000 0.5000  4 Hg 2.96
In1 0.0000 0.0000 0.0000  4 Hg 2.96
Hg1 0.2500 0.2500 0.2500  4 In 2.96, 4 Tm 2.96


Record 8
Entry from Alexandria via LeMat-Bulk: an optimized crystal structure of TmIn2Hg3 (GGA-PBE).

Results
- symmetry = Cmmm, No. 65
- theoretical density (g cm⁻³) = 11.228
- formation enthalpy at 0 K (eV/atom) = -0.1954
- D(E_F) (states/eV/cell) = 2.15

a b c (Å): 4.1774 4.7620 7.8088
angles (deg): 107.75 90.00 90.00
Last column: nearest neighbours and their distance in Å.
Element x y z (fractional)
In1 0.0000 0.3287 0.6575  8 Hg 3.17-3.29, 2 In 3.34, 2 Tm 3.49
In2 0.0000 0.6713 0.3425  8 Hg 3.17-3.29, 2 In 3.34, 2 Tm 3.49
Tm1 0.0000 0.0000 0.0000  8 Hg 3.17-3.18, 4 In 3.49
Hg1 0.5000 0.8385 0.6771  6 In 3.17-3.25, 2 Tm 3.18, 4 Hg 3.38-3.55
Hg2 0.5000 0.5000 0.0000  4 Tm 3.17, 4 In 3.29, 4 Hg 3.38
Hg3 0.5000 0.1615 0.3229  6 In 3.17-3.25, 2 Tm 3.18, 4 Hg 3.38-3.55